A plane-wave DFT calculation with PBE was carried out for a geometry-optimized ZrSc3Rh structure.

Unit cell a=4.9230 b=4.9230 c=4.9230 alpha=90.00 beta=90.00 gamma=90.00
Space group Pm-3m (No. 221)
Asymmetric unit:
Zr (0.0000, 0.0000, 0.0000) (multiplicity 1)
Sc (0.0000, 0.0000, 0.5000) (multiplicity 3)
Rh (0.5000, 0.5000, 0.5000) (multiplicity 1)

- electronic total energy (eV per atom) = -6.03

A plane-wave DFT calculation with PBE was carried out for a geometry-optimized Zr2Sc2Rh3 structure.

Unit cell a=7.9323 b=4.5872 c=7.9352 alpha=90.00 beta=109.43 gamma=90.00
Space group C2/m (No. 12)
Asymmetric unit:
Zr (0.1205, 0.0000, 0.3604) (multiplicity 4)
Sc (0.1287, 0.5000, 0.8870) (multiplicity 4)
Rh (0.0000, 0.5000, 0.5000) (multiplicity 2)
Rh (0.2464, 0.0000, 0.7388) (multiplicity 4)

- electronic total energy (eV per atom) = -8.15

A plane-wave DFT calculation with PBE was carried out for a geometry-optimized Zr2ScRh2 structure.

Unit cell a=7.4638 b=7.4638 c=3.4812 alpha=90.00 beta=90.00 gamma=90.00
Space group P4/mbm (No. 127)
Asymmetric unit:
Zr (0.1659, 0.3341, 0.0000) (multiplicity 4)
Sc (0.0000, 0.0000, 0.5000) (multiplicity 2)
Rh (0.1354, 0.6354, 0.5000) (multiplicity 4)

- electronic total energy (eV per atom) = -8.27

A plane-wave DFT calculation with PBE was carried out for a geometry-optimized ZrSc2Rh structure.

Unit cell a=3.1948 b=4.5175 c=5.8473 alpha=90.00 beta=105.63 gamma=90.00
Space group Pm (No. 6)
Asymmetric unit:
Zr (0.0000, 0.0000, 0.0000) (multiplicity 1)
Sc (0.3950, 0.5000, 0.7306) (multiplicity 1)
Sc (0.7945, 0.0000, 0.4573) (multiplicity 1)
Rh (0.3925, 0.5000, 0.2246) (multiplicity 1)

- electronic total energy (eV per atom) = -7.47

A plane-wave DFT calculation with PBE was carried out for a geometry-optimized ZrSc2Rh structure.

Unit cell a=3.4784 b=4.7558 c=4.7774 alpha=90.00 beta=90.00 gamma=90.00
Space group Pmmm (No. 47)
Asymmetric unit:
Zr (0.0000, 0.0000, 0.0000) (multiplicity 1)
Sc (0.0000, 0.5000, 0.5000) (multiplicity 1)
Sc (0.5000, 0.5000, 0.0000) (multiplicity 1)
Rh (0.5000, 0.0000, 0.5000) (multiplicity 1)

- electronic total energy (eV per atom) = -7.46

A plane-wave DFT calculation with PBE was carried out for a geometry-optimized ZrScRh3 structure.

Unit cell a=4.5899 b=4.5899 c=4.5899 alpha=90.00 beta=90.00 gamma=90.00
Space group Pm-3m (No. 221)
Asymmetric unit:
Zr (0.0000, 0.0000, 0.0000) (multiplicity 1)
Sc (0.5000, 0.5000, 0.5000) (multiplicity 1)
Rh (0.0000, 0.5000, 0.5000) (multiplicity 3)

- electronic total energy (eV per atom) = -7.17

A plane-wave DFT calculation with PBE was carried out for a geometry-optimized ZrSc2Rh structure.

Unit cell a=4.5682 b=4.5682 c=14.8133 alpha=90.00 beta=90.00 gamma=120.00
Space group R3m (No. 160, hexagonal axes)
Asymmetric unit:
Zr (0.0000, 0.0000, 0.0000) (multiplicity 3)
Sc (0.0000, 0.0000, 0.2194) (multiplicity 3)
Sc (0.0000, 0.0000, 0.4481) (multiplicity 3)
Rh (0.0000, 0.0000, 0.8177) (multiplicity 3)

- electronic total energy (eV per atom) = -7.33

A plane-wave DFT calculation with PBE was carried out for a geometry-optimized ZrScRh structure.

Unit cell a=3.3571 b=14.3169 c=4.7740 alpha=90.00 beta=90.00 gamma=90.00
Space group Cmcm (No. 63)
Asymmetric unit:
Zr (0.0000, 0.2322, 0.2500) (multiplicity 4)
Sc (0.0000, 0.0752, 0.7500) (multiplicity 4)
Rh (0.0000, 0.4211, 0.7500) (multiplicity 4)

- electronic total energy (eV per atom) = -8.04

A plane-wave DFT calculation with PBE was carried out for a geometry-optimized ZrSc2Rh structure.

Unit cell a=3.3627 b=4.8382 c=9.9724 alpha=90.00 beta=90.00 gamma=90.00
Space group Immm (No. 71)
Asymmetric unit:
Zr (0.0000, 0.0000, 0.0000) (multiplicity 2)
Sc (0.0000, 0.5000, 0.2132) (multiplicity 4)
Rh (0.0000, 0.0000, 0.5000) (multiplicity 2)

- electronic total energy (eV per atom) = -7.60

A plane-wave DFT calculation with PBE was carried out for a geometry-optimized Zr2ScRh4 structure.

Unit cell a=4.4914 b=4.4914 c=22.0797 alpha=90.00 beta=90.00 gamma=120.00
Space group R-3m (No. 166, hexagonal axes)
Asymmetric unit:
Zr (0.0000, 0.0000, 0.2423) (multiplicity 6)
Sc (0.0000, 0.0000, 0.0000) (multiplicity 3)
Rh (0.0000, 0.0000, 0.1225) (multiplicity 6)
Rh (0.0000, 0.0000, 0.3742) (multiplicity 6)

- electronic total energy (eV per atom) = -8.21

A plane-wave DFT calculation with PBE was carried out for a geometry-optimized RhSe2 structure.

Unit cell a=3.0907 b=3.0907 c=25.1917 alpha=90.00 beta=90.00 gamma=90.00
Space group I4_1/amd (No. 141, origin choice 2)
Asymmetric unit:
Rh (0.0000, 0.2500, 0.3750) (multiplicity 4)
Se (0.0000, 0.2500, 0.8138) (multiplicity 8)

- uncorrected formation energy (meV/atom) = -7.2

A plane-wave DFT calculation with PBE was carried out for a geometry-optimized Rh2Se structure.

Unit cell a=6.3885 b=3.6954 c=7.8923 alpha=90.00 beta=90.00 gamma=90.00
Space group Pnma (No. 62)
Asymmetric unit:
Rh (0.0153, 0.2500, 0.1420) (multiplicity 4)
Rh (0.1238, 0.2500, 0.5989) (multiplicity 4)
Se (0.2464, 0.2500, 0.8897) (multiplicity 4)

- uncorrected formation energy (meV/atom) = -58.9

A plane-wave DFT calculation with PBE was carried out for a geometry-optimized Rh3Se structure.

Unit cell a=5.5544 b=5.5544 c=4.4726 alpha=90.00 beta=90.00 gamma=120.00
Space group P6_3/mmc (No. 194)
Asymmetric unit:
Rh (0.1644, 0.3288, 0.2500) (multiplicity 6)
Se (0.3333, 0.6667, 0.7500) (multiplicity 2)

- uncorrected formation energy (meV/atom) = 167.9

The records above give, respectively, magnetic moment values of 0.000 0.000 0.000 0.000 0.001 0.000 0.000 0.000 0.000 0.000 0.000 0.000 0.000 μB per cell.